1.
## Sc2TcRu (PBE)

Data for Sc2TcRu after structural relaxation.

Cell and atoms, written as POSCAR:
```
Sc2TcRu
1.0
1.518 0.876 9.030
-1.518 0.876 9.030
0.000 -1.752 9.030
Sc Tc Ru
2 1 1
Cartesian
0.000 0.000 2.417 Sc
0.000 0.000 24.672 Sc
0.000 0.000 13.544 Tc
0.000 0.000 0.000 Ru
```

Results
calculated formation energy: 0.258 eV/atom
space-group type: R-3m, No. 166
magnetic moment: 0.00 μB/atom


2.
## Sc2TcRu (PBE)

Data for Sc2TcRu after structural relaxation.

Cell and atoms, written as POSCAR:
```
Sc2TcRu
1.0
2.984 0.000 0.000
0.000 4.367 0.000
0.000 0.000 5.314
Sc Tc Ru
2 1 1
Cartesian
0.000 0.000 0.000 Sc
1.492 2.183 1.573 Sc
0.000 0.000 2.789 Tc
1.492 2.183 4.091 Ru
```

Results
calculated formation energy: -0.042 eV/atom
space-group type: Pmm2, No. 25
magnetic moment: 0.00 μB/atom